[1]
A relaxed structure of Sm7Dy3Tl. Source: Alexandria via LeMat-Bulk, functional PBE-GGA.

Size of the total moment: 0.00 μB/f.u.
Formation energy: 0.14 eV per atom

The structure in CIF format:
```
data_Sm7Dy3Tl
_cell_length_a 7.0545
_cell_length_b 7.0545
_cell_length_c 8.5900
_cell_angle_alpha 90.00
_cell_angle_beta 90.00
_cell_angle_gamma 120.00
_space_group_name_H-M_alt 'P 3 m 1'
_space_group_IT_number 156
_space_group_name_Hall 'P 3 -2"'
loop_
_atom_site_label
_atom_site_type_symbol
_atom_site_fract_x
_atom_site_fract_y
_atom_site_fract_z
Sm1 Sm 0.0000 0.0000 0.0000
Sm2 Sm 0.1639 0.3278 0.6621
Sm3 Sm 0.5018 0.0035 0.9915
Dy1 Dy 0.3316 0.1658 0.3286
Tl1 Tl 0.6667 0.3333 0.6534
```

---

[2]
A relaxed structure of Sm2Dy8Tl. Source: Alexandria via LeMat-Bulk, functional PBE-GGA.

Size of the total moment: 0.00 μB/f.u.
Formation energy: -0.03 eV per atom

The structure in CIF format:
```
data_Sm2Dy8Tl
_cell_length_a 19.447
_cell_length_b 5.564
_cell_length_c 6.460
_cell_angle_alpha 90.00
_cell_angle_beta 95.21
_cell_angle_gamma 90.00
_space_group_name_H-M_alt 'C 1 2/m 1'
_space_group_IT_number 12
_space_group_name_Hall '-C 2y'
loop_
_atom_site_label
_atom_site_type_symbol
_atom_site_fract_x
_atom_site_fract_y
_atom_site_fract_z
Sm1 Sm 0.244 0.000 0.334
Dy1 Dy 0.044 0.000 0.268
Dy2 Dy 0.078 0.500 0.599
Dy3 Dy 0.153 0.000 0.806
Dy4 Dy 0.161 0.500 0.123
Tl1 Tl 0.000 0.500 0.000
```

---

Number 2 is which compound?
Sm2Dy8Tl

---

Which of these has the highest formation energy?
Sm7Dy3Tl

---

size of the total moment of number 2 (Sm2Dy8Tl)?
0.00 μB/f.u.